i:
VASP calculation (GGA-PBE) on a geometry-optimized TcSnCl2 structure.

Cell and atoms, written as CIF:
```
data_TcSnCl2
_space_group_name_H-M_alt 'I -4 2 d'
_space_group_IT_number 122
_space_group_name_Hall 'I -4 2bw'
_cell_length_a 8.346
_cell_length_b 8.346
_cell_length_c 5.307
_cell_angle_alpha 90.00
_cell_angle_beta 90.00
_cell_angle_gamma 90.00
loop_
_atom_site_label
_atom_site_type_symbol
_atom_site_fract_x
_atom_site_fract_y
_atom_site_fract_z
_atom_site_occupancy
Tc1 Tc 0.000 0.000 0.000 1
Sn1 Sn 0.000 0.000 0.500 1
Cl1 Cl 0.128 0.250 0.125 1
```

Calculated values
Its density of states at the Fermi level is 10.4 states/eV/cell. Its theoretical density is 5.2 g/cm3.

ii:
VASP calculation (GGA-PBE) on a geometry-optimized TcSnCl2 structure.

Cell and atoms, written as CIF:
```
data_TcSnCl2
_space_group_name_H-M_alt 'R -3 m'
_space_group_IT_number 166
_space_group_name_Hall '-R 3 2"'
_cell_length_a 3.1298
_cell_length_b 3.1298
_cell_length_c 28.6981
_cell_angle_alpha 90.00
_cell_angle_beta 90.00
_cell_angle_gamma 120.00
loop_
_atom_site_label
_atom_site_type_symbol
_atom_site_fract_x
_atom_site_fract_y
_atom_site_fract_z
_atom_site_occupancy
Tc1 Tc 0.0000 0.0000 0.0000 1
Sn1 Sn 0.0000 0.0000 0.5000 1
Cl1 Cl 0.0000 0.0000 0.0793 1
```

Calculated values
Its density of states at the Fermi level is 6.6 states/eV/cell. Its theoretical density is 5.9 g/cm3.

Which structure above is the least stable one? ii is the least stable one.